1.
This record from Alexandria via LeMat-Bulk describes crystalline Y2VHgBi at its relaxed geometry. The functional is PBE.

abc: 5.5989 5.0352 5.5989
angles: 90.00 90.00 90.00
Last column: magnetic moment on the atom in μB.
Sites, in units of the cell vectors:
Y 0.0000 0.0000 0.5000  -0.07
Y 0.5000 0.0000 0.0000  -0.15
V 0.0000 0.5000 0.0000  2.48
Bi 0.5000 0.5000 0.5000  -0.10
Hg 0.0000 0.0000 0.0000  -0.03

Summary:
As for the formation energy: 29.4 kJ per mole of atoms. The space-group type is P4/mmm.


2.
This record from Alexandria via LeMat-Bulk describes crystalline LaNbCo2 at its relaxed geometry. The functional is PBE.

abc: 4.6144 4.6144 4.6144
angles: 60.00 60.00 60.00
Sites, in units of the cell vectors:
Nb 0.0000 0.0000 0.0000
Co 0.2500 0.2500 0.2500
Co 0.7500 0.7500 0.7500
La 0.5000 0.5000 0.5000

Summary:
As for the formation energy: 27.6 kJ per mole of atoms. The space-group type is Fm-3m. The energy above the most stable polymorph in this dataset comes out at 0.304 eV per atom.


3.
This record from Alexandria via LeMat-Bulk describes crystalline Al2BiPd2 at its relaxed geometry. The functional is PBE.

abc: 3.9113 3.9113 6.7524
angles: 73.16 73.16 90.00
Sites, in units of the cell vectors:
Bi 0.0000 0.0000 0.0000
Pd 0.3808 0.3808 0.2384
Pd 0.6192 0.6192 0.7616
Al 0.7500 0.2500 0.5000
Al 0.2500 0.7500 0.5000

Summary:
As for the formation energy: -49.1 kJ per mole of atoms. The space-group type is I4/mmm. The energy above the most stable polymorph in this dataset comes out at 0.000 eV per atom.


4.
This record from Alexandria via LeMat-Bulk describes crystalline Rb3Cr20Te32 at its relaxed geometry. The functional is PBE.

abc: 10.3329 11.6384 18.4124
angles: 122.40 106.95 100.45
Last column: magnetic moment on the atom in μB.
Sites, in units of the cell vectors:
Rb 0.2512 0.7504 0.7499  0.00
Rb 0.0000 0.0000 0.5000  0.00
Rb 0.7488 0.2496 0.2501  0.00
Cr 0.9197 0.7663 0.2352  3.11
Cr 0.1771 0.5222 0.4899  3.17
Cr 0.4297 0.2804 0.7490  3.17
Cr 0.6732 0.0206 0.9892  3.15
Cr 0.8229 0.4778 0.5101  3.17
Cr 0.0803 0.2337 0.7648  3.11
Cr 0.3268 0.9794 0.0108  3.15
Cr 0.5703 0.7196 0.2510  3.17
Cr 0.6310 0.7018 0.6189  3.13
Cr 0.8817 0.4496 0.8686  3.12
Cr 0.1293 0.2015 0.1187  3.12
Cr 0.3759 0.9542 0.3717  3.12
Cr 0.1183 0.5504 0.1314  3.12
Cr 0.3690 0.2982 0.3811  3.13
Cr 0.6241 0.0458 0.6283  3.12
Cr 0.8707 0.7985 0.8813  3.12
Cr 0.1226 0.8733 0.1256  3.14
Cr 0.3731 0.6245 0.3745  3.17
Cr 0.6269 0.3755 0.6255  3.17
Cr 0.8774 0.1267 0.8744  3.14
Te 0.9096 0.2770 0.0598  -0.17
Te 0.1564 0.0287 0.3122  -0.17
Te 0.4119 0.7794 0.5619  -0.17
Te 0.6629 0.5281 0.8113  -0.17
Te 0.8436 0.9713 0.6878  -0.17
Te 0.0904 0.7230 0.9402  -0.17
Te 0.3371 0.4719 0.1887  -0.17
Te 0.5881 0.2206 0.4381  -0.17
Te 0.1558 0.3709 0.3102  -0.16
Te 0.4114 0.1264 0.5669  -0.16
Te 0.6596 0.8732 0.8109  -0.16
Te 0.9024 0.6184 0.0579  -0.17
Te 0.5886 0.8736 0.4331  -0.16
Te 0.8442 0.6291 0.6898  -0.16
Te 0.0976 0.3816 0.9421  -0.17
Te 0.3404 0.1268 0.1891  -0.16
Te 0.5894 0.5340 0.4320  -0.21
Te 0.8434 0.2844 0.6822  -0.21
Te 0.0905 0.0349 0.9328  -0.21
Te 0.3389 0.7888 0.1863  -0.22
Te 0.1566 0.7156 0.3178  -0.21
Te 0.4106 0.4660 0.5680  -0.21
Te 0.6611 0.2112 0.8137  -0.22
Te 0.9095 0.9651 0.0672  -0.21
Te 0.7507 0.9118 0.2519  -0.26
Te 0.0032 0.6648 0.5062  -0.24
Te 0.2566 0.4219 0.7615  -0.27
Te 0.5035 0.1665 0.0059  -0.26
Te 0.9968 0.3352 0.4938  -0.24
Te 0.2493 0.0882 0.7481  -0.26
Te 0.4965 0.8335 0.9941  -0.26
Te 0.7434 0.5781 0.2385  -0.27

Summary:
The formation energy without anion corrections comes out at -10.282 eV per formula unit. The space-group type is P-1. The energy above the most stable polymorph in this dataset comes out at 0.115 eV per atom.


5.
This record from Alexandria via LeMat-Bulk describes crystalline CaCuHg2Ru at its relaxed geometry. The functional is PBE.

abc: 4.9188 4.8557 4.9188
angles: 90.00 90.00 90.00
Last column: magnetic moment on the atom in μB.
Sites, in units of the cell vectors:
Ru 0.0000 0.5000 0.0000  1.54
Ca 0.5000 0.5000 0.5000  -0.04
Hg 0.0000 0.0000 0.5000  -0.01
Hg 0.5000 0.0000 0.0000  0.00
Cu 0.0000 0.0000 0.0000  0.06

Summary:
As for the formation energy: 41.6 kJ per mole of atoms. The space-group type is P4/mmm. The energy above the most stable polymorph in this dataset comes out at 0.000 eV per atom.


6.
This record from Alexandria via LeMat-Bulk describes crystalline Mg2Ga3WS8 at its relaxed geometry. The functional is PBE.

abc: 7.4222 7.4222 7.4222
angles: 59.15 59.15 59.15
Last column: magnetic moment on the atom in μB.
Sites, in units of the cell vectors:
Mg 0.6274 0.6274 0.6274  0.01
Mg 0.3726 0.3726 0.3726  0.01
Ga 0.0000 0.0000 0.5000  0.07
Ga 0.0000 0.5000 0.0000  0.07
Ga 0.5000 0.0000 0.0000  0.07
W 0.0000 0.0000 0.0000  1.75
S 0.7638 0.7638 0.2156  -0.01
S 0.2362 0.7844 0.2362  -0.01
S 0.2390 0.2390 0.2390  0.08
S 0.7844 0.2362 0.2362  -0.01
S 0.7610 0.7610 0.7610  0.08
S 0.2156 0.7638 0.7638  -0.01
S 0.2362 0.2362 0.7844  -0.01
S 0.7638 0.2156 0.7638  -0.01

Summary:
The formation energy without anion corrections comes out at -10.018 eV per formula unit. The space-group type is R-3m.


7.
This record from Alexandria via LeMat-Bulk describes crystalline Ba6Lu2Ga4O15 at its relaxed geometry. The functional is PBE.

abc: 5.9957 7.9874 18.5682
angles: 91.39 90.00 90.00
Sites, in units of the cell vectors:
Ba 0.2459 0.4991 0.4212
Ba 0.7541 0.5009 0.5788
Ba 0.2459 0.5009 0.0788
Ba 0.7541 0.4991 0.9212
Ba 0.2506 0.9744 0.4106
Ba 0.7494 0.0256 0.5894
Ba 0.2506 0.0256 0.0894
Ba 0.7494 0.9744 0.9106
Ba 0.2745 0.0000 0.7500
Ba 0.7255 0.0000 0.2500
Ba 0.3246 0.5000 0.7500
Ba 0.6754 0.5000 0.2500
Lu 0.2517 0.7523 0.5893
Lu 0.7483 0.2477 0.4107
Lu 0.2517 0.2477 0.9107
Lu 0.7483 0.7523 0.0893
Ga 0.2540 0.7542 0.9431
Ga 0.7460 0.2458 0.0569
Ga 0.2540 0.2458 0.5569
Ga 0.7460 0.7542 0.4431
Ga 0.2297 0.7699 0.2318
Ga 0.7703 0.2301 0.7682
Ga 0.2297 0.2301 0.2682
Ga 0.7703 0.7699 0.7318
O 0.8075 0.0000 0.7500
O 0.1925 0.0000 0.2500
O 0.4854 0.7663 0.4998
O 0.5146 0.2337 0.5002
O 0.4854 0.2337 0.0002
O 0.5146 0.7663 0.9998
O 0.2347 0.9553 0.8931
O 0.7653 0.0447 0.1069
O 0.2347 0.0447 0.6069
O 0.7653 0.9553 0.3931
O 0.9878 0.7661 0.5095
O 0.0122 0.2339 0.4905
O 0.9878 0.2339 0.9905
O 0.0122 0.7661 0.0095
O 0.6655 0.6873 0.8158
O 0.3345 0.3127 0.1842
O 0.6655 0.3127 0.6842
O 0.3345 0.6873 0.3158
O 0.5397 0.7545 0.6625
O 0.4603 0.2455 0.3375
O 0.5397 0.2455 0.8375
O 0.4603 0.7545 0.1625
O 0.0385 0.7227 0.6860
O 0.9615 0.2773 0.3140
O 0.0385 0.2773 0.8140
O 0.9615 0.7227 0.1860
O 0.2461 0.5294 0.9109
O 0.7539 0.4706 0.0891
O 0.2461 0.4706 0.5891
O 0.7539 0.5294 0.4109

Summary:
The formation energy without anion corrections comes out at -71.058 eV per formula unit. The space-group type is P2/c.


8.
This record from Alexandria via LeMat-Bulk describes crystalline Pr4Nd2Cd at its relaxed geometry. The functional is PBE.

abc: 3.6111 8.7943 8.7676
angles: 116.61 101.88 90.00
Sites, in units of the cell vectors:
Pr 0.9183 0.2981 0.8366
Pr 0.0817 0.7019 0.1634
Pr 0.6275 0.3832 0.2551
Pr 0.3725 0.6168 0.7449
Nd 0.7829 0.8600 0.5658
Nd 0.2171 0.1400 0.4342
Cd 0.0000 0.0000 0.0000

Summary:
As for the formation energy: 2.4 kJ per mole of atoms. The space-group type is C2/m.